[1]
La3PrC8: relaxed, GGA-PBE.

Cell lengths 7.2667, 6.2889, 7.2496 Å; angles 59.02, 83.87, 121.08 degrees
Element x y z (fractional)
La  0.8334  0.5000  0.6667
La  0.3333  0.5000  0.1667
La  0.5834  0.0000  0.4167
Pr  0.0834  0.0000  0.9167
C  0.9009  0.0000  0.6006
C  0.5142  0.4952  0.4861
C  0.0190  0.5048  0.9812
C  0.3992  0.0000  0.0989
C  0.7674  0.0000  0.7345
C  0.6525  0.5046  0.3473
C  0.1478  0.4954  0.8520
C  0.2657  0.0000  0.2328

Computed properties:
Calculated total energy (eV/cell): -94.42
Symmetry: C2/m, No. 12
DOS(E_F) (states/eV/atom): 0.36
Theoretical density (g/cm3): 5.18



[2]
SrTlPb3: relaxed, GGA-PBE.

Cell lengths 5.8908, 5.8908, 5.8908 Å; angles 90.00, 90.00, 90.00 degrees
Element x y z (fractional)
Pb  0.0000  0.5000  0.0000
Pb  0.0000  0.0000  0.5000
Pb  0.5000  0.0000  0.0000
Sr  0.5000  0.5000  0.5000
Tl  0.0000  0.0000  0.0000

Computed properties:
Calculated total energy (eV/cell): -14.11
E above lowest polymorph (meV/atom): 199.6
Symmetry: Pm-3m, No. 221
DOS(E_F) (states/eV/atom): 0.95
Theoretical density (g/cm3): 7.42



[3]
Mn2OsW: relaxed, GGA-PBE.

Cell lengths 4.5324, 4.5324, 2.7137 Å; angles 90.00, 90.00, 107.06 degrees
Element x y z (fractional)
Mn  0.0000  0.0000  0.0000
Mn  0.5000  0.5000  0.0000
Os  0.5000  0.0000  0.5000
W  0.0000  0.5000  0.5000

Computed properties:
Calculated total energy (eV/cell): -41.96
Symmetry: Cmmm, No. 65
DOS(E_F) (states/eV/atom): 0.93
Theoretical density (g/cm3): 15.08